No. 1
The following is a DFT calculation (PBE) of a relaxed Ce2YMnS5 crystal.

```
18
Lattice="1.950 -8.252 0.000 1.950 8.252 0.000 0.000 0.000 11.983" Properties=species:S:1:pos:R:3 pbc="T T T"
Ce 1.950 6.286 5.992
Ce 1.950 6.226 1.806
Ce 1.950 -6.226 7.797
Ce 1.950 -6.286 0.000
Y 1.950 5.208 9.966
Y 1.950 -5.208 3.975
Mn 1.950 0.825 2.790
Mn 1.950 -0.825 8.782
S 1.950 7.985 9.911
S 1.950 3.275 5.899
S 1.950 3.080 2.004
S 1.950 2.510 9.883
S 1.950 0.108 6.714
S 1.950 -0.108 0.723
S 1.950 -2.510 3.891
S 1.950 -3.080 7.995
S 1.950 -3.275 11.891
S 1.950 -7.985 3.919
```

---

No. 2
The following is a DFT calculation (PBE) of a relaxed Ce2ZrMnS5 crystal.

```
18
Lattice="1.902 -8.120 0.000 1.902 8.120 0.000 0.000 0.000 11.740" Properties=species:S:1:pos:R:3 pbc="T T T"
Ce 1.902 6.131 5.870
Ce 1.902 6.115 10.073
Ce 1.902 -6.115 4.203
Ce 1.902 -6.131 0.000
Zr 1.902 5.188 2.093
Zr 1.902 -5.188 7.963
Mn 1.902 0.957 7.014
Mn 1.902 -0.957 1.144
S 1.902 7.771 2.261
S 1.902 3.179 9.834
S 1.902 3.127 6.152
S 1.902 2.523 2.098
S 1.902 0.028 10.847
S 1.902 -0.028 4.977
S 1.902 -2.523 7.969
S 1.902 -3.127 0.282
S 1.902 -3.179 3.964
S 1.902 -7.771 8.131
```

---

No. 3
The following is a DFT calculation (PBE) of a relaxed Ce6MnSb10 crystal.

```
17
Lattice="9.256 0.000 0.000 -4.628 8.016 0.000 0.000 0.000 6.193" Properties=species:S:1:pos:R:3 pbc="T T T"
Ce -1.770 3.065 1.537
Ce -2.859 4.951 4.656
Ce 3.539 0.000 1.537
Ce 1.770 3.065 4.656
Ce 5.717 0.000 4.656
Ce 2.859 4.951 1.537
Mn 0.000 0.000 0.000
Sb -1.158 2.006 4.621
Sb -3.470 6.010 1.573
Sb 2.316 0.000 4.621
Sb 1.158 2.006 1.573
Sb 0.000 5.344 0.000
Sb 0.000 5.344 3.097
Sb 4.628 2.672 0.000
Sb 4.628 2.672 3.097
Sb 6.940 0.000 1.573
Sb 3.470 6.010 4.621
```

---

No. 4
The following is a DFT calculation (PBE) of a relaxed Ce3MnSb crystal.

```
5
Lattice="5.042 0.000 0.000 0.000 5.042 0.000 0.000 0.000 5.042" Properties=species:S:1:pos:R:3 pbc="T T T"
Ce 0.000 0.000 2.521
Ce 0.000 2.521 0.000
Ce 2.521 0.000 0.000
Mn 0.000 0.000 0.000
Sb 2.521 2.521 2.521
```

---

Total DFT energy (no corrections) values, unit eV per atom, following the record order: -7.04 -7.19 -5.84 -6.63.
Raw formation energy values, unit eV per atom, following the record order: -1.696 -1.614 -0.784 -0.407.
Volume values, unit Å³/cell, following the record order: 386 363 460 128.